1.
Here is a geometry-optimized HfTcAgPd2 structure from Alexandria. Energies are from PBE-GGA.

Cell: 4.6996 4.9464 4.6996 Å, 90.00 90.00 90.00°
Last column: nearest neighbours and their distance in Å.
Sites, in units of the cell vectors:
1 Tc 0.0000 0.0000 0.0000  4 Pd 2.35, 2 Ag 2.47
2 Pd 0.5000 0.0000 0.0000  2 Tc 2.35
3 Pd 0.0000 0.0000 0.5000  2 Tc 2.35
4 Ag 0.0000 0.5000 0.0000  2 Tc 2.47
5 Hf 0.5000 0.5000 0.5000  4 Ag 3.32, 8 Pd 3.41

2.
Here is a geometry-optimized Y2MnPt structure from Alexandria. Energies are from PBE-GGA.

Cell: 5.9036 5.9036 5.9036 Å, 139.21 139.21 59.05°
Last column: nearest neighbours and their distance in Å.
Sites, in units of the cell vectors:
1 Mn 0.5000 0.5000 0.0000  4 Y 2.91
2 Y 0.2500 0.7500 0.5000  4 Pt 2.91
3 Y 0.0000 0.0000 0.0000  4 Mn 2.91
4 Pt 0.7500 0.2500 0.5000  4 Y 2.91

DFT formation energy: 1.18 -0.32 (eV per atom)
VASP energy: -5.532 -7.356 (eV/atom)